4
Lattice="-1.864 4.114 2.219 -2.412 1.694 4.079 3.694 1.371 2.873" Properties=species:S:1:pos:R:3 comment="Mo2OsPb | Alexandria via LeMat-Bulk | PBE | relaxed" energy_ev_per_atom=-8.5570 magmom_total_mub_per_fu=0.0 dos_ef_per_ev_fu=3.3 space_group="C2/m (12)" e_form_mev_per_atom=593 vol_a3_per_atom=17.66 crystal_system=monoclinic pbc="T T T"
Os -0.437 5.385 6.878
Mo -0.069 3.588 4.648
Mo 3.471 1.374 2.810
Pb -0.146 1.795 2.293



5
Lattice="5.283 0.000 0.000 0.000 5.283 0.000 0.000 0.000 5.283" Properties=species:S:1:pos:R:3 comment="MoOsPb3 | Alexandria via LeMat-Bulk | PBE | relaxed" energy_ev_per_atom=-5.3373 magmom_total_mub_per_fu=4.1 dos_ef_per_ev_fu=3.0 space_group="Pm-3m (221)" e_form_mev_per_atom=1300 vol_a3_per_atom=29.48 crystal_system=cubic pbc="T T T"
Pb 0.000 2.641 0.000
Pb 2.641 0.000 0.000
Pb 0.000 0.000 2.641
Mo 2.641 2.641 2.641
Os 0.000 0.000 0.000



4
Lattice="4.873 -0.037 0.000 1.393 4.670 0.000 -3.133 -2.317 2.927" Properties=species:S:1:pos:R:3 comment="MoOs2Pb | Alexandria via LeMat-Bulk | PBE | relaxed" energy_ev_per_atom=-8.4773 magmom_total_mub_per_fu=0.7 dos_ef_per_ev_fu=4.8 space_group="I4/mmm (139)" e_form_mev_per_atom=772 vol_a3_per_atom=16.69 crystal_system=tetragonal pbc="T T T"
Mo 2.437 -0.018 1.463
Os 3.133 2.317 0.000
Os 0.000 0.000 0.000
Pb 0.697 2.335 1.463



4
Lattice="-5.837 -4.965 5.979 -3.245 -5.825 7.072 -4.460 -3.304 7.979" Properties=species:S:1:pos:R:3 comment="Mo2OsPb | Alexandria via LeMat-Bulk | PBE | relaxed" energy_ev_per_atom=-8.4980 magmom_total_mub_per_fu=0.0 dos_ef_per_ev_fu=3.1 space_group="R3m (160)" e_form_mev_per_atom=652 vol_a3_per_atom=17.94 crystal_system=trigonal pbc="T T T"
Pb -10.165 -10.580 15.786
Os -6.899 -7.180 10.714
Mo -13.452 -14.000 20.890
Mo -3.339 -3.475 5.186



4
Lattice="-2.345 2.257 0.576 -0.183 -1.515 5.195 3.203 3.071 1.008" Properties=species:S:1:pos:R:3 comment="MoOsPb2 | Alexandria via LeMat-Bulk | PBE | relaxed" energy_ev_per_atom=-6.2647 magmom_total_mub_per_fu=1.1 dos_ef_per_ev_fu=4.4 space_group="Pmmm (47)" e_form_mev_per_atom=1105 vol_a3_per_atom=20.36 crystal_system=orthorhombic pbc="T T T"
Pb -1.264 0.371 2.885
Pb 0.000 0.000 0.000
Os 1.510 0.778 3.102
Mo 0.429 2.664 0.792



3
Lattice="6.436 -0.011 0.011 5.726 2.939 0.006 0.710 0.177 2.944" Properties=species:S:1:pos:R:3 comment="MoOsPb | Alexandria via LeMat-Bulk | PBE | relaxed" energy_ev_per_atom=-8.0585 magmom_total_mub_per_fu=0.0 dos_ef_per_ev_fu=2.6 space_group="I4mm (107)" e_form_mev_per_atom=531 vol_a3_per_atom=18.61 crystal_system=tetragonal pbc="T T T"
Pb 8.366 2.016 0.987
Mo 11.901 2.865 0.084
Os 4.766 1.151 1.907



> Number 6 is which compound?

MoOsPb



Please write out number 2 again, unchanged.
5
Lattice="5.283 0.000 0.000 0.000 5.283 0.000 0.000 0.000 5.283" Properties=species:S:1:pos:R:3 comment="MoOsPb3 | Alexandria via LeMat-Bulk | PBE | relaxed" energy_ev_per_atom=-5.3373 magmom_total_mub_per_fu=4.1 dos_ef_per_ev_fu=3.0 space_group="Pm-3m (221)" e_form_mev_per_atom=1300 vol_a3_per_atom=29.48 crystal_system=cubic pbc="T T T"
Pb 0.000 2.641 0.000
Pb 2.641 0.000 0.000
Pb 0.000 0.000 2.641
Mo 2.641 2.641 2.641
Os 0.000 0.000 0.000